<one>
The following is a GGA-PBE calculation of a geometry-optimized Sm2Se2Br structure, from Alexandria via LeMat-Bulk.

Calculated values
DOS at the Fermi energy (states/eV/f.u.): 2.17
Mass density (g/cm³): 6.10

abc: 5.2751 8.0534 7.3389
angles: 85.01 89.99 70.88
Last column: nearest neighbours and their distance in Å.
Positions (direct):
Sm 0.2077 0.6815 0.0142  5 Se 2.90-3.20, 2 Br 3.04-3.11
Sm 0.8890 0.3185 0.4858  5 Se 2.90-3.20, 2 Br 3.04-3.11
Sm 0.7923 0.3185 0.9858  5 Se 2.90-3.20, 2 Br 3.04-3.11
Sm 0.1110 0.6815 0.5142  5 Se 2.90-3.20, 2 Br 3.04-3.11
Se 0.3756 0.3668 0.3091  5 Sm 2.90-3.20
Se 0.7424 0.6332 0.1909  5 Sm 2.90-3.20
Se 0.6244 0.6332 0.6909  5 Sm 2.90-3.20
Se 0.2576 0.3668 0.8091  5 Sm 2.90-3.20
Br 0.0829 0.0000 0.2500  4 Sm 3.04-3.11
Br 0.9171 0.0000 0.7500  4 Sm 3.04-3.11

<two>
The following is a GGA-PBE calculation of a geometry-optimized Sm2Se2Br structure, from Alexandria via LeMat-Bulk.

Calculated values
DOS at the Fermi energy (states/eV/f.u.): 2.23
Mass density (g/cm³): 5.80

abc: 4.2243 5.7736 7.2591
angles: 113.43 106.92 90.00
Last column: nearest neighbours and their distance in Å.
Positions (direct):
Sm 0.6789 0.1789 0.3578  4 Se 2.88-2.89, 2 Br 3.09
Sm 0.3211 0.8211 0.6422  4 Se 2.88-2.89, 2 Br 3.09
Se 0.3342 0.3342 0.6683  4 Sm 2.88-2.89
Se 0.6658 0.6658 0.3317  4 Sm 2.88-2.89
Br 0.0000 0.0000 0.0000  4 Sm 3.09

Name the least stable of them. <one>.

<one>
The following is a GGA-PBE calculation of a geometry-optimized Sn2SeBr structure, from Alexandria via LeMat-Bulk.

Calculated values
DOS at the Fermi energy (states/eV/f.u.): 2.47
Mass density (g/cm³): 5.52

abc: 8.1409 8.1409 6.7871
angles: 53.15 53.15 90.00
Last column: nearest neighbours and their distance in Å.
Positions (direct):
Se 0.5000 0.5000 0.0000  4 Sn 2.88
Se 0.2500 0.7500 0.5000  4 Sn 2.88
Sn 0.5989 0.1250 0.2500  2 Se 2.88, 2 Br 3.16
Sn 0.1511 0.6250 0.2500  2 Se 2.88, 2 Br 3.16
Sn 0.3750 0.4011 0.7500  2 Se 2.88, 2 Br 3.16
Sn 0.8750 0.8489 0.7500  2 Se 2.88, 2 Br 3.16
Br 0.0000 0.0000 0.0000  4 Sn 3.16
Br 0.7500 0.2500 0.5000  4 Sn 3.16

<two>
The following is a GGA-PBE calculation of a geometry-optimized Sn2SeBr structure, from Alexandria via LeMat-Bulk.

Calculated values
DOS at the Fermi energy (states/eV/f.u.): 1.58
Mass density (g/cm³): 5.70

abc: 3.9240 3.9240 8.9478
angles: 77.33 77.33 60.00
Last column: nearest neighbours and their distance in Å.
Positions (direct):
Sn 0.0755 0.0755 0.7735  3 Se 2.96, 3 Br 3.23
Sn 0.2585 0.2585 0.2246  3 Se 3.02, 3 Br 3.34
Se 0.6687 0.6687 0.9938  6 Sn 2.96-3.02
Br 0.4973 0.4973 0.5080  6 Sn 3.23-3.34

<three>
The following is a GGA-PBE calculation of a geometry-optimized Sn2SeBr structure, from Alexandria via LeMat-Bulk.

Calculated values
DOS at the Fermi energy (states/eV/f.u.): 1.48
Mass density (g/cm³): 6.30

abc: 5.2875 5.2875 5.2875
angles: 60.00 60.00 60.00
Last column: nearest neighbours and their distance in Å.
Positions (direct):
Se 0.0000 0.0000 0.0000  8 Sn 3.24
Sn 0.2500 0.2500 0.2500  4 Br 3.24, 4 Se 3.24
Sn 0.7500 0.7500 0.7500  4 Se 3.24, 4 Br 3.24
Br 0.5000 0.5000 0.5000  8 Sn 3.24

Name the least stable of them. <three>.

<one>
The following is a GGA-PBE calculation of a geometry-optimized Sn2SeBr structure, from Alexandria via LeMat-Bulk.

Calculated values
DOS at the Fermi energy (states/eV/f.u.): 0.89
Mass density (g/cm³): 5.56

abc: 8.6704 7.1731 9.2514
angles: 105.96 112.05 103.92
Last column: nearest neighbours and their distance in Å.
Positions (direct):
Sn 0.5794 0.8594 0.1239  3 Se 2.92-3.02, 1 Br 3.27
Sn 0.0444 0.2645 0.1239  3 Se 2.92-3.02, 1 Br 3.27
Sn 0.4206 0.1406 0.8761  3 Se 2.92-3.02, 1 Br 3.27
Sn 0.9556 0.7355 0.8761  3 Se 2.92-3.02, 1 Br 3.27
Sn 0.3058 0.5842 0.6301  3 Se 2.96-3.19, 3 Br 3.10-3.30
Sn 0.1757 0.9541 0.3699  3 Se 2.96-3.19, 3 Br 3.10-3.30
Sn 0.6942 0.4158 0.3699  3 Se 2.96-3.19, 3 Br 3.10-3.30
Sn 0.8243 0.0459 0.6301  3 Se 2.96-3.19, 3 Br 3.10-3.30
Se 0.3119 0.0619 0.1239  6 Sn 2.92-3.12
Se 0.6881 0.9381 0.8761  6 Sn 2.92-3.12
Se 0.0630 0.8130 0.6261  6 Sn 2.93-3.19
Se 0.9370 0.1870 0.3739  6 Sn 2.93-3.19
Br 0.4428 0.6928 0.3856  6 Sn 3.11-3.43
Br 0.1836 0.4336 0.8673  6 Sn 3.10-3.41
Br 0.5572 0.3072 0.6144  6 Sn 3.11-3.43
Br 0.8164 0.5664 0.1327  6 Sn 3.10-3.41

<two>
The following is a GGA-PBE calculation of a geometry-optimized Sn2SeBr structure, from Alexandria via LeMat-Bulk.

Calculated values
DOS at the Fermi energy (states/eV/f.u.): 1.24
Mass density (g/cm³): 5.69

abc: 3.9431 3.9431 8.8884
angles: 77.18 77.18 60.00
Last column: nearest neighbours and their distance in Å.
Positions (direct):
Se 0.0000 0.0000 0.0000  6 Sn 3.00
Sn 0.2578 0.2578 0.2267  3 Se 3.00, 3 Br 3.27
Sn 0.7422 0.7422 0.7733  3 Se 3.00, 3 Br 3.27
Br 0.5000 0.5000 0.5000  6 Sn 3.27

Name the least stable of them. <one>.